# 1
A plane-wave DFT calculation with PBE was carried out for a relaxed structure of Hg2PtSe.

Unit cell a=6.2872 b=6.2872 c=12.3248 alpha=90.00 beta=90.00 gamma=90.00
With the nearest neighbours (Å) after each atom.
Space group I-42d (No. 122)
Symmetry-distinct sites (fractional):
Hg 0.2464 0.2500 0.1250 x8  2 Pt 2.69, 2 Se 2.72
Pt 0.0000 0.0000 0.0000 x4  4 Hg 2.69
Se 0.0000 0.0000 0.5000 x4  4 Hg 2.72

Calculated values
ρ ... 9.2 g/cm3
Energy relative to the lowest polymorph listed for this composition ... 376 meV/atom
Raw formation energy ... 0.326 eV/atom
D(E_F) ... 0.00 states/eV/cell


# 2
A plane-wave DFT calculation with PBE was carried out for a relaxed structure of ZrInSe.

Unit cell a=6.7810 b=6.7810 c=6.7810 alpha=90.00 beta=90.00 gamma=90.00
With the nearest neighbours (Å) after each atom.
Space group F-43m (No. 216)
Symmetry-distinct sites (fractional):
Zr 0.0000 0.0000 0.0000 x4  4 In 2.94, 4 Se 2.94
In 0.2500 0.2500 0.7500 x4  4 Zr 2.94
Se 0.2500 0.2500 0.2500 x4  4 Zr 2.94

Calculated values
ρ ... 6.1 g/cm3
Energy relative to the lowest polymorph listed for this composition ... 717 meV/atom
Raw formation energy ... -0.008 eV/atom
D(E_F) ... 19.34 states/eV/cell


# 3
A plane-wave DFT calculation with PBE was carried out for a relaxed structure of CdSbTe2As.

Unit cell a=5.5434 b=5.5434 c=5.3336 alpha=90.00 beta=90.00 gamma=90.00
With the nearest neighbours (Å) after each atom.
Space group P4/mmm (No. 123)
Symmetry-distinct sites (fractional):
Cd 0.0000 0.0000 0.0000 x1  8 Te 3.85, 4 Sb 3.92
Sb 0.5000 0.5000 0.0000 x1  2 As 2.67
Te 0.0000 0.5000 0.5000 x2  2 As 2.77
As 0.5000 0.5000 0.5000 x1  2 Sb 2.67, 4 Te 2.77

Calculated values
ρ ... 5.7 g/cm3
Energy relative to the lowest polymorph listed for this composition ... 0 meV/atom
Raw formation energy ... 0.490 eV/atom
D(E_F) ... 5.07 states/eV/cell


# 4
A plane-wave DFT calculation with PBE was carried out for a relaxed structure of SiHgAu2.

Unit cell a=3.5358 b=3.5358 c=22.6013 alpha=90.00 beta=90.00 gamma=120.00
With the nearest neighbours (Å) after each atom.
Space group R3m (No. 160, hexagonal axes)
Symmetry-distinct sites (fractional):
Si 0.0000 0.0000 0.0000 x3  3 Au 2.51
Hg 0.0000 0.0000 0.2434 x3  3 Si 2.88, 3 Au 2.91
Au 0.0000 0.0000 0.4847 x3  3 Au 2.83, 3 Hg 2.91
Au 0.0000 0.0000 0.7313 x3  3 Si 2.51

Calculated values
ρ ... 12.7 g/cm3
Energy relative to the lowest polymorph listed for this composition ... 111 meV/atom
Raw formation energy ... 0.175 eV/atom
D(E_F) ... 4.42 states/eV/cell


# 5
A plane-wave DFT calculation with PBE was carried out for a relaxed structure of Fe2Ni5Pd6.

Unit cell a=7.9468 b=16.4911 c=2.7115 alpha=90.00 beta=90.00 gamma=90.00
With the nearest neighbours (Å) after each atom.
Space group Pbam (No. 55)
Symmetry-distinct sites (fractional):
Fe 0.1600 0.2356 0.0000 x4  4 Ni 2.41-2.43, 4 Pd 2.51-2.58
Ni 0.0000 0.5000 0.5000 x2  6 Pd 2.55-2.61, 4 Ni 2.56-2.71
Ni 0.0894 0.7553 0.5000 x4  4 Fe 2.41-2.43, 1 Pd 2.68
Ni 0.1781 0.0085 0.5000 x4  4 Ni 2.56-2.85, 7 Pd 2.60-2.66
Pd 0.0179 0.8933 0.0000 x4  1 Fe 2.55, 6 Ni 2.62-2.71, 2 Pd 2.71
Pd 0.1446 0.6160 0.0000 x4  1 Fe 2.51, 6 Ni 2.61-2.70, 2 Pd 2.71
Pd 0.1692 0.3689 0.5000 x4  3 Ni 2.55-2.68, 2 Fe 2.58, 4 Pd 2.71-2.85

Calculated values
ρ ... 9.8 g/cm3
E_form ... 0.09 eV/atom
D(E_F) ... 33.57 states/eV/cell


# 6
A plane-wave DFT calculation with PBE was carried out for a relaxed structure of PmYTm3Th.

Unit cell a=5.8004 b=11.2849 c=11.5971 alpha=90.00 beta=90.00 gamma=90.00
With the nearest neighbours (Å) after each atom.
Space group Cmcm (No. 63)
Symmetry-distinct sites (fractional):
Pm 0.0000 0.0057 0.2500 x4  6 Tm 3.41-3.54, 3 Y 3.52-3.65
Y 0.0000 0.3293 0.2500 x4  5 Tm 3.43-3.79, 2 Th 3.48, 3 Pm 3.52-3.65
Tm 0.0000 0.1768 0.5061 x8  3 Tm 3.34-3.35, 1 Y 3.43, 2 Pm 3.50-3.54, 3 Th 3.52-3.65
Tm 0.0000 0.3352 0.7500 x4  2 Tm 3.35, 2 Pm 3.41, 2 Y 3.44, 2 Th 3.44
Th 0.0000 0.5000 0.0000 x4  8 Tm 3.44-3.65, 2 Y 3.48

Calculated values
ρ ... 8.5 g/cm3
E_form ... 0.12 eV/atom
D(E_F) ... 43.87 states/eV/cell


# 7
A plane-wave DFT calculation with PBE was carried out for a relaxed structure of NdSb3Rh3.

Unit cell a=7.4517 b=7.4517 c=20.6884 alpha=90.00 beta=90.00 gamma=120.00
With the nearest neighbours (Å) after each atom.
Space group R-3 (No. 148, hexagonal axes)
Symmetry-distinct sites (fractional):
Nd 0.0000 0.0000 0.1621 x6  6 Sb 3.18-3.27, 3 Rh 3.25
Sb 0.0229 0.7179 0.4113 x18  4 Rh 2.57-2.65
Rh 0.0167 0.7109 0.9530 x18  4 Sb 2.57-2.65

Calculated values
ρ ... 8.2 g/cm3
Energy relative to the lowest polymorph listed for this composition ... 0 meV/atom
Raw formation energy ... -0.521 eV/atom
D(E_F) ... 24.60 states/eV/cell


# 8
A plane-wave DFT calculation with PBE was carried out for a relaxed structure of PmZn4.

Unit cell a=4.1945 b=4.1945 c=10.7674 alpha=90.00 beta=90.00 gamma=90.00
With the nearest neighbours (Å) after each atom.
Space group I4/mmm (No. 139)
Symmetry-distinct sites (fractional):
Pm 0.0000 0.0000 0.0000 x2  16 Zn 3.21-3.41
Zn 0.0000 0.0000 0.3852 x4  5 Zn 2.47-2.55
Zn 0.0000 0.5000 0.2500 x4  4 Zn 2.55

Calculated values
ρ ... 7.1 g/cm3
Energy relative to the lowest polymorph listed for this composition ... 0 meV/atom
E_form ... -0.31 eV/atom
D(E_F) ... 6.75 states/eV/cell


# 9
A plane-wave DFT calculation with PBE was carried out for a relaxed structure of Nd12ErAl3.

Unit cell a=4.9369 b=4.9369 c=20.0814 alpha=90.00 beta=90.00 gamma=90.00
With the nearest neighbours (Å) after each atom.
Space group P4/mmm (No. 123)
Symmetry-distinct sites (fractional):
Nd 0.0000 0.0000 0.0000 x1  8 Nd 3.48, 4 Al 3.49
Nd 0.0000 0.0000 0.2436 x2  8 Nd 3.47-3.48, 4 Al 3.49
Nd 0.0000 0.0000 0.5000 x1  4 Er 3.49, 8 Nd 3.65
Nd 0.0000 0.5000 0.1221 x4  4 Al 3.46-3.48, 8 Nd 3.47-3.49
Nd 0.0000 0.5000 0.3661 x4  8 Nd 3.48-3.65, 2 Al 3.49, 2 Er 3.65
Er 0.5000 0.5000 0.5000 x1  12 Nd 3.49-3.65
Al 0.5000 0.5000 0.0000 x1  12 Nd 3.48-3.49
Al 0.5000 0.5000 0.2430 x2  12 Nd 3.46-3.49

Calculated values
ρ ... 6.7 g/cm3
E_form ... -0.11 eV/atom
D(E_F) ... 22.25 states/eV/cell


# 10
A plane-wave DFT calculation with PBE was carried out for a relaxed structure of Pu2NiPt6.

Unit cell a=9.5134 b=5.5229 c=6.4342 alpha=90.00 beta=103.70 gamma=90.00
With the nearest neighbours (Å) after each atom.
Space group C2/m (No. 12)
Symmetry-distinct sites (fractional):
Pu 0.1478 0.0000 0.3768 x4  9 Pt 3.00-3.17, 3 Ni 3.26-3.28
Ni 0.0000 0.5000 0.5000 x2  6 Pt 2.51-2.55
Pt 0.1186 0.5000 0.1903 x4  1 Ni 2.51, 4 Pt 2.73-2.77
Pt 0.1337 0.2462 0.8164 x8  1 Ni 2.55, 6 Pt 2.72-2.83

Calculated values
ρ ... 17.4 g/cm3
Energy relative to the lowest polymorph listed for this composition ... 0 meV/atom
E_form ... -0.59 eV/atom
D(E_F) ... 49.36 states/eV/cell


# 11
A plane-wave DFT calculation with PBE was carried out for a relaxed structure of PmNd2Sc4.

Unit cell a=6.3872 b=11.4585 c=11.4607 alpha=90.00 beta=90.00 gamma=90.00
With the nearest neighbours (Å) after each atom.
Space group Fmmm (No. 69)
Symmetry-distinct sites (fractional):
Pm 0.0000 0.0000 0.0000 x4  12 Sc 3.52-3.88
Nd 0.2500 0.2500 0.2500 x8  2 Nd 3.19, 8 Sc 3.34-3.35
Sc 0.0000 0.0000 0.3079 x8  4 Sc 3.12-3.46, 4 Nd 3.35
Sc 0.0000 0.1930 0.5000 x8  4 Sc 3.12-3.45, 4 Nd 3.34

Calculated values
ρ ... 4.9 g/cm3
E_form ... 0.25 eV/atom
D(E_F) ... 61.11 states/eV/cell


# 12
A plane-wave DFT calculation with PBE was carried out for a relaxed structure of LiScI2N.

Unit cell a=5.9607 b=5.9607 c=4.0183 alpha=90.00 beta=90.00 gamma=90.00
With the nearest neighbours (Å) after each atom.
Space group P4/mmm (No. 123)
Symmetry-distinct sites (fractional):
Li 0.0000 0.0000 0.0000 x1  8 I 3.59, 2 Li 4.02
Sc 0.5000 0.5000 0.5000 x1  2 N 2.01
I 0.0000 0.5000 0.5000 x2  2 Sc 2.98
N 0.5000 0.5000 0.0000 x1  2 Sc 2.01

Calculated values
ρ ... 3.7 g/cm3
Energy relative to the lowest polymorph listed for this composition ... 0 meV/atom
Raw formation energy ... -0.514 eV/atom
D(E_F) ... 1.84 states/eV/cell


What is the formula in the fourth record?
SiHgAu2


Look up the ρ of the eleventh one.
4.9 g/cm3


The lowest D(E_F) belongs to which entry?
Hg2PtSe